1.
# BaScMn2 | Alexandria | GGA-PBE | relaxed
# Total magnetization in μB/atom: 1.829
# ΔE_f in eV per atom: 0.743
data_BaScMn2
_space_group_name_H-M_alt 'F -4 3 m'
_space_group_IT_number 216
_space_group_name_Hall 'F -4 2 3'
_cell_length_a 7.237
_cell_length_b 7.237
_cell_length_c 7.237
_cell_angle_alpha 90.00
_cell_angle_beta 90.00
_cell_angle_gamma 90.00
loop_
_atom_site_label
_atom_site_type_symbol
_atom_site_fract_x
_atom_site_fract_y
_atom_site_fract_z
Ba1 Ba 0.000 0.000 0.000
Sc1 Sc 0.250 0.250 0.750
Mn1 Mn 0.000 0.000 0.500
Mn2 Mn 0.250 0.250 0.250

2.
# BaScMn2 | Alexandria | GGA-PBE | relaxed
# Total magnetization in μB/atom: 0.156
# ΔE_f in eV per atom: 0.487
data_BaScMn2
_space_group_name_H-M_alt 'I m m 2'
_space_group_IT_number 44
_cell_length_a 3.603
_cell_length_b 4.611
_cell_length_c 12.549
_cell_angle_alpha 90.00
_cell_angle_beta 90.00
_cell_angle_gamma 90.00
loop_
_space_group_symop_operation_xyz
'x,y,z'
'-x,-y,z'
'-x,y,z'
'x,-y,z'
'x+1/2,y+1/2,z+1/2'
'-x+1/2,-y+1/2,z+1/2'
'-x+1/2,y+1/2,z+1/2'
'x+1/2,-y+1/2,z+1/2'
loop_
_atom_site_label
_atom_site_type_symbol
_atom_site_fract_x
_atom_site_fract_y
_atom_site_fract_z
Ba1 Ba 0.000 0.000 0.000
Sc1 Sc 0.000 0.500 0.242
Mn1 Mn 0.000 0.000 0.356
Mn2 Mn 0.000 0.500 0.758

3.
# Ba2ScMn | Alexandria | GGA-PBE | relaxed
# Total magnetization in μB/atom: 0.793
# ΔE_f in eV per atom: 0.429
data_Ba2ScMn
_space_group_name_H-M_alt 'I m m m'
_space_group_IT_number 71
_space_group_name_Hall '-I 2 2'
_cell_length_a 3.742
_cell_length_b 4.214
_cell_length_c 19.457
_cell_angle_alpha 90.00
_cell_angle_beta 90.00
_cell_angle_gamma 90.00
loop_
_atom_site_label
_atom_site_type_symbol
_atom_site_fract_x
_atom_site_fract_y
_atom_site_fract_z
Ba1 Ba 0.000 0.000 0.155
Sc1 Sc 0.000 0.500 0.000
Mn1 Mn 0.000 0.500 0.500

4.
# BaScMn2 | Alexandria | GGA-PBE | relaxed
# Total magnetization in μB/atom: 1.593
# ΔE_f in eV per atom: 0.585
data_BaScMn2
_space_group_name_H-M_alt 'C 1 m 1'
_space_group_IT_number 8
_cell_length_a 10.410
_cell_length_b 3.298
_cell_length_c 6.011
_cell_angle_alpha 90.00
_cell_angle_beta 103.19
_cell_angle_gamma 90.00
loop_
_space_group_symop_operation_xyz
'x,y,z'
'x,-y,z'
'x+1/2,y+1/2,z'
'x+1/2,-y+1/2,z'
loop_
_atom_site_label
_atom_site_type_symbol
_atom_site_fract_x
_atom_site_fract_y
_atom_site_fract_z
Ba1 Ba 0.000 0.000 0.000
Sc1 Sc 0.299 0.500 0.400
Mn1 Mn 0.039 0.500 0.512
Mn2 Mn 0.229 0.000 0.735

5.
# Ba2ScMn | Alexandria | GGA-PBE | relaxed
# Total magnetization in μB/atom: 0.867
# ΔE_f in eV per atom: 0.612
data_Ba2ScMn
_space_group_name_H-M_alt 'I -4 m 2'
_space_group_IT_number 119
_space_group_name_Hall 'I -4 -2'
_cell_length_a 5.794
_cell_length_b 5.794
_cell_length_c 8.169
_cell_angle_alpha 90.00
_cell_angle_beta 90.00
_cell_angle_gamma 90.00
loop_
_atom_site_label
_atom_site_type_symbol
_atom_site_fract_x
_atom_site_fract_y
_atom_site_fract_z
Ba1 Ba 0.000 0.000 0.000
Ba2 Ba 0.000 0.500 0.250
Sc1 Sc 0.000 0.000 0.500
Mn1 Mn 0.000 0.500 0.750

6.
# Ba2ScMn | Alexandria | GGA-PBE | relaxed
# Total magnetization in μB/atom: 1.199
# ΔE_f in eV per atom: 0.696
data_Ba2ScMn
_space_group_name_H-M_alt 'R -3 m'
_space_group_IT_number 166
_space_group_name_Hall '-R 3 2"'
_cell_length_a 3.8267
_cell_length_b 3.8267
_cell_length_c 34.3009
_cell_angle_alpha 90.00
_cell_angle_beta 90.00
_cell_angle_gamma 120.00
loop_
_atom_site_label
_atom_site_type_symbol
_atom_site_fract_x
_atom_site_fract_y
_atom_site_fract_z
Ba1 Ba 0.0000 0.0000 0.2418
Sc1 Sc 0.0000 0.0000 0.0000
Mn1 Mn 0.0000 0.0000 0.5000

7.
# BaScMn2 | Alexandria | GGA-PBE | relaxed
# Total magnetization in μB/atom: 0.000
# ΔE_f in eV per atom: 1.172
data_BaScMn2
_space_group_name_H-M_alt 'F m -3 m'
_space_group_IT_number 225
_space_group_name_Hall '-F 4 2 3'
_cell_length_a 6.755
_cell_length_b 6.755
_cell_length_c 6.755
_cell_angle_alpha 90.00
_cell_angle_beta 90.00
_cell_angle_gamma 90.00
loop_
_atom_site_label
_atom_site_type_symbol
_atom_site_fract_x
_atom_site_fract_y
_atom_site_fract_z
Ba1 Ba 0.000 0.000 0.000
Sc1 Sc 0.000 0.000 0.500
Mn1 Mn 0.250 0.250 0.250

8.
# BaScMn2 | Alexandria | GGA-PBE | relaxed
# Total magnetization in μB/atom: 1.540
# ΔE_f in eV per atom: 0.554
data_BaScMn2
_space_group_name_H-M_alt 'C 1 2/m 1'
_space_group_IT_number 12
_cell_length_a 9.291
_cell_length_b 3.271
_cell_length_c 6.979
_cell_angle_alpha 90.00
_cell_angle_beta 98.43
_cell_angle_gamma 90.00
loop_
_space_group_symop_operation_xyz
'x,y,z'
'-x,-y,-z'
'-x,y,-z'
'x,-y,z'
'x+1/2,y+1/2,z'
'-x+1/2,-y+1/2,-z'
'-x+1/2,y+1/2,-z'
'x+1/2,-y+1/2,z'
loop_
_atom_site_label
_atom_site_type_symbol
_atom_site_fract_x
_atom_site_fract_y
_atom_site_fract_z
Ba1 Ba 0.000 0.000 0.000
Sc1 Sc 0.000 0.500 0.500
Mn1 Mn 0.242 0.000 0.650